# Mg3Sb

Crystalline Mg3Sb at its relaxed geometry (PBE, Alexandria via LeMat-Bulk).

Unit cell a=5.666 b=5.666 c=5.666 alpha=90.00 beta=90.00 gamma=90.00
Space group Pm-3m (No. 221)
Inequivalent atoms, fractional coordinates:
Mg (0.000, 0.000, 0.500) [3 per cell]
Sb (0.000, 0.000, 0.000) [1 per cell]

Summary:
Calculated total energy: -1.6741 eV per atom
Relative energy among the computed polymorphs: 0.725 eV/atom
Raw formation energy: 0.552 eV per atom
Fermi-level density of states: 4.851 states/eV/f.u.